PBE TbTm6Mg, relaxed; electronic total energy = -31.89 eV for the cell shown; space-group type = R-3 (148)
1.0
0.248 5.757 -6.160
3.986 -1.513 -8.195
-1.715 -0.179 -6.015
Tb Tm Mg
1 6 1
Direct
0.500 0.500 0.500 Tb
0.955 0.525 0.763 Tm
0.757 0.955 0.814 Tm
0.525 0.243 0.278 Tm
0.243 0.045 0.186 Tm
0.045 0.475 0.237 Tm
0.475 0.757 0.722 Tm
0.000 0.000 0.000 Mg

=====

PBE Li2Cu2Rh, relaxed; electronic total energy = -39.56 eV for the cell shown; space-group type = C2/c (15)
1.0
-3.432 -2.366 2.489
0.322 -2.073 4.378
-2.697 4.976 4.588
Li Cu Rh
4 4 2
Direct
0.552 0.054 0.149 Li
0.946 0.448 0.351 Li
0.448 0.946 0.851 Li
0.054 0.552 0.649 Li
0.654 0.153 0.449 Cu
0.847 0.346 0.051 Cu
0.346 0.847 0.551 Cu
0.153 0.654 0.949 Cu
0.251 0.749 0.250 Rh
0.749 0.251 0.750 Rh

=====

PBE Dy6Ho2Tm, relaxed; electronic total energy = -41.07 eV for the cell shown; space-group type = P-1 (2)
1.0
3.506 0.313 0.224
-0.149 5.997 -6.196
0.905 0.687 12.646
Dy Ho Tm
6 2 1
Direct
0.889 0.555 0.222 Dy
0.111 0.445 0.778 Dy
0.666 0.668 0.668 Dy
0.778 0.111 0.444 Dy
0.222 0.889 0.556 Dy
0.334 0.332 0.332 Dy
0.445 0.778 0.110 Ho
0.555 0.222 0.890 Ho
0.000 0.000 0.000 Tm

=====

PBE La2Dy3S4, relaxed; electronic total energy = -56.35 eV for the cell shown; space-group type = C2/m (12)
1.0
3.823 0.000 0.940
1.683 6.470 1.399
-0.188 0.603 9.007
La Dy S
2 3 4
Direct
0.599 0.207 0.596 La
0.401 0.793 0.404 La
0.000 0.000 0.000 Dy
0.207 0.396 0.191 Dy
0.793 0.604 0.809 Dy
0.802 0.109 0.287 S
0.198 0.891 0.713 S
0.396 0.301 0.907 S
0.604 0.699 0.093 S

=====

PBE TaAl2Os, relaxed; electronic total energy = -31.06 eV for the cell shown; space-group type = Cmmm (65)
1.0
4.789 0.003 0.000
-1.770 4.450 0.000
0.000 0.000 2.921
Os Al Ta
1 2 1
Direct
0.500 0.000 0.500 Os
0.000 0.000 0.000 Al
0.500 0.500 0.000 Al
0.000 0.500 0.500 Ta

=====

PBE Pu3MnRh3, relaxed; electronic total energy = -151.01 eV for the cell shown; space-group type = Cmmm (65)
1.0
-2.395 -5.995 -0.033
5.865 -2.678 0.322
-0.329 0.094 6.758
Pu Mn Rh
6 2 6
Direct
0.301 0.301 0.500 Pu
0.218 0.782 0.500 Pu
0.782 0.218 0.500 Pu
0.296 0.704 0.000 Pu
0.704 0.296 0.000 Pu
0.699 0.699 0.500 Pu
0.225 0.225 0.000 Mn
0.775 0.775 0.000 Mn
0.000 0.000 0.779 Rh
0.500 0.000 0.224 Rh
0.000 0.500 0.224 Rh
0.500 0.000 0.776 Rh
0.000 0.500 0.776 Rh
0.000 0.000 0.221 Rh

=====

PBE Tm3GaAg2, relaxed; electronic total energy = -24.70 eV for the cell shown; space-group type = P-3m1 (164)
1.0
-4.042 0.185 3.022
0.938 -4.157 -2.709
3.377 -2.272 4.656
Tm Ga Ag
3 1 2
Direct
0.000 0.000 0.500 Tm
0.667 0.333 0.836 Tm
0.333 0.667 0.164 Tm
0.000 0.000 0.000 Ga
0.667 0.333 0.333 Ag
0.333 0.667 0.667 Ag

=====

PBE Ca3Tl5Br12, relaxed; electronic total energy = -64.69 eV for the cell shown; space-group type = P-62m (189)
1.0
4.402 0.000 0.000
0.000 11.663 -6.734
0.000 0.000 13.467
Ca Tl Br
3 5 12
Direct
0.500 0.675 0.000 Ca
0.500 0.325 0.325 Ca
0.500 0.000 0.675 Ca
0.000 0.333 0.667 Tl
0.000 0.667 0.333 Tl
0.000 0.288 0.000 Tl
0.000 0.712 0.712 Tl
0.000 0.000 0.288 Tl
0.000 0.821 0.000 Br
0.000 0.179 0.179 Br
0.000 0.000 0.821 Br
0.000 0.534 0.000 Br
0.000 0.466 0.466 Br
0.000 0.000 0.534 Br
0.500 0.197 0.447 Br
0.500 0.250 0.803 Br
0.500 0.803 0.250 Br
0.500 0.553 0.750 Br
0.500 0.750 0.553 Br
0.500 0.447 0.197 Br

=====

PBE Zr2CuW, relaxed; electronic total energy = -34.05 eV for the cell shown; space-group type = Fm-3m (225)
1.0
4.487 0.949 1.016
1.327 0.569 4.470
2.673 -3.249 2.089
Cu Zr W
1 2 1
Direct
0.000 0.000 0.000 Cu
0.250 0.250 0.250 Zr
0.750 0.750 0.750 Zr
0.500 0.500 0.500 W

=====

PBE Hg2IrOs, relaxed; electronic total energy = -18.37 eV for the cell shown; space-group type = Cm (8)
1.0
4.260 -0.009 0.050
3.357 2.623 0.050
2.218 0.761 7.731
Hg Ir Os
2 1 1
Direct
0.018 0.018 0.981 Hg
0.255 0.255 0.280 Hg
0.498 0.498 0.555 Ir
0.729 0.729 0.683 Os

=====

PBE Zn2TeAs, relaxed; electronic total energy = -9.58 eV for the cell shown; space-group type = R3m (160)
1.0
10.198 0.042 0.025
9.686 3.192 0.025
9.686 1.576 2.777
As Te Zn
1 1 2
Direct
0.526 0.526 0.526 As
0.733 0.733 0.733 Te
0.985 0.985 0.985 Zn
0.256 0.256 0.256 Zn